Entry 1:
Computed, not measured: crystalline CaAcGdSc at its relaxed geometry at the GGA-PBE level of DFT.

The space group is F-43m (No. 216) and the conventional cell measures 8.233, 8.233 and 8.233 Å, with angles of 90.00, 90.00 and 90.00 degrees. The distinct sites, in fractional coordinates, are Ca at (0.000, 0.000, 0.000), Ac at (0.250, 0.250, 0.250), Gd at (0.250, 0.250, 0.750) and Sc at (0.000, 0.000, 0.500).

As for the magnetic moment: 29.68 μB/cell. The value obtained for the calculated formation energy is 0.14 eV/atom. The value obtained for the raw total energy is -6.490 eV per atom.

=====

Entry 2:
Computed, not measured: crystalline CaAcGdSn at its relaxed geometry at the GGA-PBE level of DFT.

The space group is F-43m (No. 216) and the conventional cell measures 8.019, 8.019 and 8.019 Å, with angles of 90.00, 90.00 and 90.00 degrees. The distinct sites, in fractional coordinates, are Ca at (0.000, 0.000, 0.000), Ac at (0.250, 0.250, 0.750), Gd at (0.000, 0.000, 0.500) and Sn at (0.250, 0.250, 0.250).

As for the magnetic moment: 36.65 μB/cell. The value obtained for the calculated formation energy is -0.14 eV/atom. The value obtained for the raw total energy is -6.193 eV per atom.

=====

Entry 3:
Computed, not measured: crystalline CaAcGdTl at its relaxed geometry at the GGA-PBE level of DFT.

The space group is F-43m (No. 216) and the conventional cell measures 8.123, 8.123 and 8.123 Å, with angles of 90.00, 90.00 and 90.00 degrees. The distinct sites, in fractional coordinates, are Ca at (0.000, 0.000, 0.000), Ac at (0.250, 0.250, 0.250), Gd at (0.000, 0.000, 0.500) and Tl at (0.250, 0.250, 0.750).

As for the magnetic moment: 35.58 μB/cell. The value obtained for the calculated formation energy is 0.03 eV/atom. The value obtained for the raw total energy is -5.608 eV per atom.

=====

Entry 4:
Computed, not measured: crystalline CaAcGdTm at its relaxed geometry at the GGA-PBE level of DFT.

The space group is F-43m (No. 216) and the conventional cell measures 8.366, 8.366 and 8.366 Å, with angles of 90.00, 90.00 and 90.00 degrees. The distinct sites, in fractional coordinates, are Ca at (0.000, 0.000, 0.000), Ac at (0.250, 0.250, 0.250), Gd at (0.250, 0.250, 0.750) and Tm at (0.000, 0.000, 0.500).

As for the magnetic moment: 30.31 μB/cell. The value obtained for the calculated formation energy is 0.11 eV/atom. The value obtained for the raw total energy is -6.056 eV per atom.

=====

Entry 5:
Computed, not measured: crystalline Ca2AcGe at its relaxed geometry at the GGA-PBE level of DFT.

The space group is P4/mmm (No. 123) and the conventional cell measures 3.683, 3.683 and 9.863 Å, with angles of 90.00, 90.00 and 90.00 degrees. The distinct sites, in fractional coordinates, are Ca at (0.000, 0.000, 0.181), Ac at (0.500, 0.500, 0.500) and Ge at (0.500, 0.500, 0.000).

As for the energy above the most stable polymorph in this dataset: 0.121 eV/atom. As for the magnetic moment: 0.00 μB/cell. The value obtained for the calculated formation energy is -0.26 eV/atom. The value obtained for the raw total energy is -3.443 eV per atom.

=====

Entry 6:
Computed, not measured: crystalline CaAc2Ge at its relaxed geometry at the GGA-PBE level of DFT.

The space group is R3m (No. 160, hexagonal axes) and the conventional cell measures 4.3604, 4.3604 and 31.2937 Å, with angles of 90.00, 90.00 and 120.00 degrees. The distinct sites, in fractional coordinates, are Ca at (0.0000, 0.0000, 0.0000), Ac at (0.0000, 0.0000, 0.5583), Ac at (0.0000, 0.0000, 0.7743) and Ge at (0.0000, 0.0000, 0.1657).

As for the energy above the most stable polymorph in this dataset: 0.058 eV/atom. As for the magnetic moment: 0.62 μB/cell. The value obtained for the calculated formation energy is -0.24 eV/atom. The value obtained for the raw total energy is -3.953 eV per atom.

=====

Entry 7:
Computed, not measured: crystalline CaAc12Ge7 at its relaxed geometry at the GGA-PBE level of DFT.

The space group is R-3 (No. 148, hexagonal axes) and the conventional cell measures 16.3014, 16.3014 and 10.5879 Å, with angles of 90.00, 90.00 and 120.00 degrees. The distinct sites, in fractional coordinates, are Ca at (0.0000, 0.0000, 0.0000), Ac at (0.0360, 0.5976, 0.6631), Ac at (0.0528, 0.1781, 0.3363), Ge at (0.0000, 0.0000, 0.5000) and Ge at (0.0555, 0.1848, 0.8221).

As for the magnetic moment: 0.02 μB/cell. The value obtained for the calculated formation energy is -0.37 eV/atom. The value obtained for the raw total energy is -4.554 eV per atom.

=====

Entry 8:
Computed, not measured: crystalline Ca2AcGe at its relaxed geometry at the GGA-PBE level of DFT.

The space group is P4/mmm (No. 123) and the conventional cell measures 4.921, 4.921 and 5.304 Å, with angles of 90.00, 90.00 and 90.00 degrees. The distinct sites, in fractional coordinates, are Ca at (0.000, 0.500, 0.000), Ac at (0.000, 0.000, 0.500) and Ge at (0.500, 0.500, 0.500).

As for the energy above the most stable polymorph in this dataset: 0.155 eV/atom. As for the magnetic moment: 0.00 μB/cell. The value obtained for the calculated formation energy is -0.23 eV/atom. The value obtained for the raw total energy is -3.410 eV per atom.

=====

Entry 9:
Computed, not measured: crystalline CaAcGe3 at its relaxed geometry at the GGA-PBE level of DFT.

The space group is Cmcm (No. 63) and the conventional cell measures 4.529, 27.554 and 4.169 Å, with angles of 90.00, 90.00 and 90.00 degrees. The distinct sites, in fractional coordinates, are Ca at (0.000, 0.204, 0.250), Ac at (0.000, 0.076, 0.750), Ge at (0.000, 0.317, 0.250), Ge at (0.000, 0.374, 0.750) and Ge at (0.000, 0.473, 0.750).

As for the magnetic moment: 0.00 μB/cell. The value obtained for the calculated formation energy is -0.63 eV/atom. The value obtained for the raw total energy is -4.621 eV per atom.

=====

Entry 10:
Computed, not measured: crystalline CaAc2Ge6 at its relaxed geometry at the GGA-PBE level of DFT.

The space group is Immm (No. 71) and the conventional cell measures 4.427, 7.218 and 15.269 Å, with angles of 90.00, 90.00 and 90.00 degrees. The distinct sites, in fractional coordinates, are Ca at (0.000, 0.000, 0.000), Ac at (0.000, 0.500, 0.158), Ge at (0.000, 0.175, 0.500) and Ge at (0.000, 0.327, 0.355).

As for the magnetic moment: 0.00 μB/cell. The value obtained for the calculated formation energy is -0.46 eV/atom. The value obtained for the raw total energy is -4.670 eV per atom.

=====

Entry 11:
Computed, not measured: crystalline Ca2AcGe at its relaxed geometry at the GGA-PBE level of DFT.

The space group is Fm-3m (No. 225) and the conventional cell measures 8.035, 8.035 and 8.035 Å, with angles of 90.00, 90.00 and 90.00 degrees. The distinct sites, in fractional coordinates, are Ca at (0.250, 0.250, 0.250), Ac at (0.000, 0.000, 0.000) and Ge at (0.000, 0.000, 0.500).

As for the energy above the most stable polymorph in this dataset: 0.459 eV/atom. As for the magnetic moment: 0.00 μB/cell. The value obtained for the calculated formation energy is 0.08 eV/atom. The value obtained for the raw total energy is -3.105 eV per atom.

=====

Entry 12:
Computed, not measured: crystalline CaAc3Ge4 at its relaxed geometry at the GGA-PBE level of DFT.

The space group is Immm (No. 71) and the conventional cell measures 4.577, 6.554 and 17.180 Å, with angles of 90.00, 90.00 and 90.00 degrees. The distinct sites, in fractional coordinates, are Ca at (0.000, 0.000, 0.000), Ac at (0.000, 0.000, 0.500), Ac at (0.000, 0.500, 0.306) and Ge at (0.000, 0.311, 0.129).

As for the magnetic moment: 0.00 μB/cell. The value obtained for the calculated formation energy is -0.61 eV/atom. The value obtained for the raw total energy is -4.709 eV per atom.

=====

Entry 13:
Computed, not measured: crystalline CaAc6Ge4 at its relaxed geometry at the GGA-PBE level of DFT.

The space group is I-42m (No. 121) and the conventional cell measures 8.253, 8.253 and 11.952 Å, with angles of 90.00, 90.00 and 90.00 degrees. The distinct sites, in fractional coordinates, are Ca at (0.000, 0.000, 0.000), Ac at (0.000, 0.500, 0.000), Ac at (0.157, 0.157, 0.327) and Ge at (0.221, 0.221, 0.593).

As for the magnetic moment: 0.00 μB/cell. The value obtained for the calculated formation energy is -0.42 eV/atom. The value obtained for the raw total energy is -4.520 eV per atom.

=====

Entry 14:
Computed, not measured: crystalline Ca2Ac5Ge5 at its relaxed geometry at the GGA-PBE level of DFT.

The space group is C2/m (No. 12) and the conventional cell measures 15.133, 4.463 and 12.937 Å, with angles of 90.00, 107.10 and 90.00 degrees. The distinct sites, in fractional coordinates, are Ca at (0.043, 0.000, 0.284), Ac at (0.000, 0.500, 0.000), Ac at (0.155, 0.500, 0.541), Ac at (0.241, 0.500, 0.852), Ge at (0.000, 0.000, 0.500), Ge at (0.114, 0.000, 0.921) and Ge at (0.192, 0.500, 0.302).

As for the magnetic moment: 0.00 μB/cell. The value obtained for the calculated formation energy is -0.58 eV/atom. The value obtained for the raw total energy is -4.545 eV per atom.

=====

Entry 15:
Computed, not measured: crystalline CaAc2Ge at its relaxed geometry at the GGA-PBE level of DFT.

The space group is R-3m (No. 166, hexagonal axes) and the conventional cell measures 4.3613, 4.3613 and 31.2788 Å, with angles of 90.00, 90.00 and 120.00 degrees. The distinct sites, in fractional coordinates, are Ca at (0.0000, 0.0000, 0.0000), Ac at (0.0000, 0.0000, 0.2254) and Ge at (0.0000, 0.0000, 0.5000).

As for the energy above the most stable polymorph in this dataset: 0.059 eV/atom. As for the magnetic moment: 0.02 μB/cell. The value obtained for the calculated formation energy is -0.24 eV/atom. The value obtained for the raw total energy is -3.952 eV per atom.

=====

Entry 16:
Computed, not measured: crystalline Ca2Ac2Ge3 at its relaxed geometry at the GGA-PBE level of DFT.

The space group is P-1 (No. 2) and the conventional cell measures 3.635, 7.576 and 8.558 Å, with angles of 66.20, 89.97 and 89.87 degrees. The distinct sites, in fractional coordinates, are Ca at (0.000, 0.102, 0.265), Ac at (0.001, 0.636, 0.248), Ge at (0.499, 0.751, 0.519) and Ge at (0.500, 0.000, 0.000).

As for the magnetic moment: 0.00 μB/cell. The value obtained for the calculated formation energy is -0.47 eV/atom. The value obtained for the raw total energy is -4.191 eV per atom.

=====

Entry 17:
Computed, not measured: crystalline CaAcGe2 at its relaxed geometry at the GGA-PBE level of DFT.

The space group is P4/mmm (No. 123) and the conventional cell measures 5.063, 5.063 and 4.265 Å, with angles of 90.00, 90.00 and 90.00 degrees. The distinct sites, in fractional coordinates, are Ca at (0.000, 0.000, 0.000), Ac at (0.500, 0.500, 0.000) and Ge at (0.000, 0.500, 0.500).

As for the magnetic moment: 0.00 μB/cell. The value obtained for the calculated formation energy is -0.51 eV/atom. The value obtained for the raw total energy is -4.342 eV per atom.

=====

Entry 18:
Computed, not measured: crystalline Ca2AcGe4 at its relaxed geometry at the GGA-PBE level of DFT.

The space group is Immm (No. 71) and the conventional cell measures 4.141, 4.582 and 18.875 Å, with angles of 90.00, 90.00 and 90.00 degrees. The distinct sites, in fractional coordinates, are Ca at (0.000, 0.000, 0.183), Ac at (0.000, 0.500, 0.500), Ge at (0.000, 0.000, 0.347) and Ge at (0.000, 0.500, 0.071).

As for the magnetic moment: 0.00 μB/cell. The value obtained for the calculated formation energy is -0.63 eV/atom. The value obtained for the raw total energy is -4.431 eV per atom.

=====

Entry 19:
Computed, not measured: crystalline Ca3Ac4Ge4 at its relaxed geometry at the GGA-PBE level of DFT.

The space group is Immm (No. 71) and the conventional cell measures 3.756, 9.687 and 18.968 Å, with angles of 90.00, 90.00 and 90.00 degrees. The distinct sites, in fractional coordinates, are Ca at (0.000, 0.000, 0.000), Ca at (0.000, 0.500, 0.089), Ac at (0.000, 0.319, 0.334), Ge at (0.000, 0.000, 0.280) and Ge at (0.000, 0.227, 0.500).

As for the magnetic moment: 0.00 μB/cell. The value obtained for the calculated formation energy is -0.44 eV/atom. The value obtained for the raw total energy is -4.157 eV per atom.

=====

Entry 20:
Computed, not measured: crystalline Ca4AcGe4 at its relaxed geometry at the GGA-PBE level of DFT.

The space group is P4_2/n (No. 86, origin choice 2) and the conventional cell measures 9.653, 9.653 and 6.000 Å, with angles of 90.00, 90.00 and 90.00 degrees. The distinct sites, in fractional coordinates, are Ca at (0.088, 0.645, 0.129), Ac at (0.250, 0.250, 0.250) and Ge at (0.034, 0.605, 0.622).

As for the magnetic moment: 0.00 μB/cell. The value obtained for the calculated formation energy is -0.47 eV/atom. The value obtained for the raw total energy is -3.867 eV per atom.